A plane-wave DFT calculation with GGA-PBE was carried out for crystalline ReTcIN2 at its relaxed geometry.

Structure (extended XYZ):
```
5
Lattice="-0.133 0.321 -3.880 -2.451 -3.024 -0.166 -4.525 3.643 0.456" Properties=species:S:1:pos:R:3 pbc="T T T"
N -0.066 0.161 -1.940
N -1.225 -1.512 -0.083
Tc -3.555 0.470 -1.795
Re 0.000 0.000 0.000
I -2.263 1.822 0.228
```

raw total energy	-6.99	eV per atom
M_tot	3.6	μB/f.u.
energy relative to the lowest polymorph listed for this composition	0.00	eV per formula unit
symmetry	P4/mmm
V	17.69	A^3/atom
E_form (uncorrected)	6.1	eV/f.u.